Entry 1:
Here is crystalline TiZn3Ni4 at its relaxed geometry from Alexandria via LeMat-Bulk. Energies are from PBE.

a b c (Å): 8.458 5.448 4.309
angles (deg): 90.00 90.00 90.00
Sites, in units of the cell vectors:
Ti 0.000 0.000 0.000
Ti 0.500 0.000 0.000
Zn 0.000 0.500 0.000
Zn 0.250 0.000 0.423
Zn 0.250 0.500 0.412
Zn 0.500 0.500 0.000
Zn 0.750 0.000 0.577
Zn 0.750 0.500 0.588
Ni 0.000 0.253 0.500
Ni 0.000 0.747 0.500
Ni 0.250 0.256 0.908
Ni 0.250 0.744 0.908
Ni 0.500 0.253 0.500
Ni 0.500 0.747 0.500
Ni 0.750 0.256 0.092
Ni 0.750 0.744 0.092

Output
**Magnetic moment**: 0.00 μB per atom
**Energy**: -4.67 eV/atom
**Formation enthalpy at 0 K**: -240 kJ/mol of formula units

=====

Entry 2:
Here is crystalline TiZn2Ni at its relaxed geometry from Alexandria via LeMat-Bulk. Energies are from PBE.

a b c (Å): 4.254 4.254 4.254
angles (deg): 60.00 60.00 60.00
Sites, in units of the cell vectors:
Ti 0.000 0.000 0.000
Zn 0.500 0.500 0.500
Zn 0.750 0.750 0.750
Ni 0.250 0.250 0.250

Output
**Magnetic moment**: 0.00 μB per atom
**Energy**: -4.34 eV/atom
**Formation enthalpy at 0 K**: -108 kJ/mol of formula units

=====

Entry 3:
Here is crystalline Ti2ZnNi at its relaxed geometry from Alexandria via LeMat-Bulk. Energies are from PBE.

a b c (Å): 6.248 2.903 6.461
angles (deg): 90.00 90.00 90.00
Sites, in units of the cell vectors:
Ti 0.023 0.000 0.232
Ti 0.477 0.000 0.232
Ti 0.523 0.000 0.768
Ti 0.977 0.000 0.768
Zn 0.250 0.500 0.525
Zn 0.750 0.500 0.475
Ni 0.250 0.500 0.954
Ni 0.750 0.500 0.046

Output
**Magnetic moment**: 0.29 μB per atom
**Energy**: -5.97 eV/atom
**Formation enthalpy at 0 K**: -98 kJ/mol of formula units